(1)
The following is a GGA-PBE calculation of crystalline SiTeCl2 at its relaxed geometry, from Alexandria via LeMat-Bulk.

Output
The formation energy without anion corrections comes out at 0.21 eV/atom. The crystal system is tetragonal.

Unit cell a=7.7222 b=7.7222 c=11.0277 alpha=90.00 beta=90.00 gamma=90.00
Last column: nearest neighbours and their distance in Å.
Space group I-42d (No. 122)
Symmetry-distinct sites (fractional):
Si 0.0000 0.0000 0.0000 [4 per cell]  4 Cl 2.37
Te 0.0000 0.0000 0.5000 [4 per cell]  12 Cl 4.51-4.56, 4 Te 4.74, 4 Si 4.74
Cl 0.0026 0.2500 0.1250 [8 per cell]  2 Si 2.37


(2)
The following is a GGA-PBE calculation of crystalline CaPmCuNi at its relaxed geometry, from Alexandria via LeMat-Bulk.

Output
The crystal system is orthorhombic.

Unit cell a=4.1284 b=3.9836 c=10.9788 alpha=90.00 beta=90.00 gamma=90.00
Last column: nearest neighbours and their distance in Å.
Space group Amm2 (No. 38)
Symmetry-distinct sites (fractional):
Ca 0.0000 0.0000 0.0000 [2 per cell]  4 Cu 3.00, 3 Ni 3.07-3.15
Pm 0.5000 0.0000 0.7200 [2 per cell]  3 Cu 2.96-3.30, 4 Ni 2.96
Cu 0.5000 0.0000 0.4195 [2 per cell]  2 Ni 2.53
Ni 0.0000 0.0000 0.2870 [2 per cell]  2 Cu 2.53


(3)
The following is a GGA-PBE calculation of crystalline Na3ZnHg2Au3 at its relaxed geometry, from Alexandria via LeMat-Bulk.

Output
The crystal system is hexagonal.

Unit cell a=7.3979 b=7.3979 c=4.1848 alpha=90.00 beta=90.00 gamma=120.00
Last column: nearest neighbours and their distance in Å.
Space group P-62m (No. 189)
Symmetry-distinct sites (fractional):
Na 0.0000 0.4070 0.0000 [3 per cell]  1 Zn 3.01, 4 Hg 3.07, 4 Au 3.35
Zn 0.0000 0.0000 0.0000 [1 per cell]  6 Au 2.71, 3 Na 3.01
Hg 0.3333 0.6667 0.5000 [2 per cell]  3 Au 2.91, 6 Na 3.07
Au 0.0000 0.7666 0.5000 [3 per cell]  2 Zn 2.71, 2 Hg 2.91, 2 Au 2.99


(4)
The following is a GGA-PBE calculation of crystalline Pm5NdCd4 at its relaxed geometry, from Alexandria via LeMat-Bulk.

Output
The crystal system is tetragonal.

Unit cell a=3.7847 b=3.7847 c=20.6086 alpha=90.00 beta=90.00 gamma=90.00
Last column: nearest neighbours and their distance in Å.
Space group P4/mmm (No. 123)
Symmetry-distinct sites (fractional):
Pm 0.0000 0.0000 0.0000 [1 per cell]  8 Cd 3.31
Pm 0.0000 0.0000 0.1885 [2 per cell]  8 Cd 3.30-3.33
Pm 0.0000 0.0000 0.3784 [2 per cell]  4 Cd 3.30, 4 Nd 3.67
Nd 0.5000 0.5000 0.5000 [1 per cell]  8 Pm 3.67, 4 Nd 3.78
Cd 0.5000 0.5000 0.0948 [2 per cell]  8 Pm 3.30-3.31
Cd 0.5000 0.5000 0.2847 [2 per cell]  8 Pm 3.30-3.33


| no. | magnetic moment (μB/f.u.) | calculated total energy (eV/atom) |
| --- | --- | --- |
| 1 | 1.87 | -2.853 |
| 2 | 0.00 | -4.369 |
| 3 | 0.00 | -1.994 |
| 4 | 1.44 | -3.461 |